1.
Computed, not measured: CsPrCdTe3 after structural relaxation at the PBE-GGA level of DFT.

a = 10.3068 Å, b = 4.6663 Å, c = 11.2498 Å
α = 90.00°, β = 109.87°, γ = 90.00°
Atoms (fractional coordinates):
Cs (0.2192, 0.2500, 0.2471)
Cs (0.7808, 0.7500, 0.7529)
Pr (0.3256, 0.7500, 0.8652)
Pr (0.6744, 0.2500, 0.1348)
Cd (0.0841, 0.2500, 0.6124)
Cd (0.9159, 0.7500, 0.3876)
Te (0.1089, 0.2500, 0.8697)
Te (0.2132, 0.7500, 0.5446)
Te (0.4729, 0.7500, 0.1605)
Te (0.5271, 0.2500, 0.8395)
Te (0.7868, 0.2500, 0.4554)
Te (0.8911, 0.7500, 0.1303)

## Properties
Its total energy is -3.76 eV/atom. Its space group is No. 11. The relative energy among the computed polymorphs comes out at 17 meV per atom. Its total magnetic moment is 0.0 μB/f.u.

2.
Computed, not measured: HoPaB after structural relaxation at the PBE-GGA level of DFT.

a = 11.4794 Å, b = 11.4794 Å, c = 3.2238 Å
α = 90.00°, β = 90.00°, γ = 162.60°
Atoms (fractional coordinates):
Ho (0.1922, 0.8078, 0.7500)
Ho (0.8078, 0.1922, 0.2500)
Pa (0.4291, 0.5709, 0.7500)
Pa (0.5709, 0.4291, 0.2500)
B (0.0154, 0.9846, 0.7500)
B (0.9846, 0.0154, 0.2500)

## Properties
Its total energy is -7.06 eV/atom. Its space group is No. 63. Its total magnetic moment is 0.0 μB/f.u. The calculation puts the energy of formation at -0.141 eV per atom.

Q: What is the formula in the first record?
A: CsPrCdTe3

Q: Which value of total energy does entry 1 give?
A: -3.76 eV/atom

What did the second record say?
Computed, not measured: HoPaB after structural relaxation at the PBE-GGA level of DFT.

a = 11.4794 Å, b = 11.4794 Å, c = 3.2238 Å
α = 90.00°, β = 90.00°, γ = 162.60°
Atoms (fractional coordinates):
Ho (0.1922, 0.8078, 0.7500)
Ho (0.8078, 0.1922, 0.2500)
Pa (0.4291, 0.5709, 0.7500)
Pa (0.5709, 0.4291, 0.2500)
B (0.0154, 0.9846, 0.7500)
B (0.9846, 0.0154, 0.2500)

## Properties
Its total energy is -7.06 eV/atom. Its space group is No. 63. Its total magnetic moment is 0.0 μB/f.u. The calculation puts the energy of formation at -0.141 eV per atom.

Repeat the first record exactly.
Computed, not measured: CsPrCdTe3 after structural relaxation at the PBE-GGA level of DFT.

a = 10.3068 Å, b = 4.6663 Å, c = 11.2498 Å
α = 90.00°, β = 109.87°, γ = 90.00°
Atoms (fractional coordinates):
Cs (0.2192, 0.2500, 0.2471)
Cs (0.7808, 0.7500, 0.7529)
Pr (0.3256, 0.7500, 0.8652)
Pr (0.6744, 0.2500, 0.1348)
Cd (0.0841, 0.2500, 0.6124)
Cd (0.9159, 0.7500, 0.3876)
Te (0.1089, 0.2500, 0.8697)
Te (0.2132, 0.7500, 0.5446)
Te (0.4729, 0.7500, 0.1605)
Te (0.5271, 0.2500, 0.8395)
Te (0.7868, 0.2500, 0.4554)
Te (0.8911, 0.7500, 0.1303)

## Properties
Its total energy is -3.76 eV/atom. Its space group is No. 11. The relative energy among the computed polymorphs comes out at 17 meV per atom. Its total magnetic moment is 0.0 μB/f.u.